1.
Below is a relaxed structure of MgSbH, with properties calculated at the PBE level.

Cell: 7.7101 4.9548 8.4037 Å, 90.00 96.81 90.00°
Fractional positions:
H 0.8714 0.0765 0.0713
H 0.8714 0.9235 0.0713
H 0.8714 0.5765 0.5713
H 0.8714 0.4235 0.5713
Mg 0.5177 0.5000 0.5028
Mg 0.2186 0.0000 0.4306
Mg 0.2186 0.5000 0.9306
Mg 0.5177 0.0000 0.0028
Sb 0.1823 0.0000 0.7656
Sb 0.1823 0.5000 0.2656
Sb 0.5434 0.5000 0.1675
Sb 0.5434 0.0000 0.6675

Results
Spin magnetization = 0.00 μB per formula unit
Crystal system = monoclinic
Offset from the most stable computed form = 41 meV/atom
ρ = 3065 kg/m3


2.
Below is a relaxed structure of MgSbH, with properties calculated at the PBE level.

Cell: 5.3270 5.1871 9.6819 Å, 90.00 90.00 90.00°
Fractional positions:
H 0.7500 0.0492 0.4627
H 0.7500 0.4508 0.9627
H 0.2500 0.9508 0.5373
H 0.2500 0.5492 0.0373
Mg 0.2500 0.5732 0.4003
Mg 0.7500 0.4268 0.5997
Mg 0.2500 0.9268 0.9003
Mg 0.7500 0.0732 0.0997
Sb 0.7500 0.7749 0.3559
Sb 0.2500 0.2749 0.1441
Sb 0.2500 0.2251 0.6441
Sb 0.7500 0.7251 0.8559

Results
Spin magnetization = 0.00 μB per formula unit
Crystal system = orthorhombic
Offset from the most stable computed form = 99 meV/atom
ρ = 3651 kg/m3


3.
Below is a relaxed structure of Mg5Sb4H, with properties calculated at the PBE level.

Cell: 5.9028 7.0034 7.0034 Å, 79.77 65.08 65.08°
Fractional positions:
H 0.0433 0.0000 0.0000
Sb 0.2186 0.2105 0.3811
Sb 0.4291 0.3811 0.7895
Sb 0.8103 0.7895 0.6189
Sb 0.5997 0.6189 0.2105
Mg 0.3771 0.0000 0.0000
Mg 0.0980 0.6466 0.1735
Mg 0.2715 0.8265 0.6466
Mg 0.9181 0.3534 0.8265
Mg 0.7446 0.1735 0.3534

Results
Total energy = -29.02 eV per cell
Spin magnetization = 0.00 μB per formula unit
Crystal system = tetragonal
ρ = 4251 kg/m3


4.
Below is a relaxed structure of MgSb2H2, with properties calculated at the PBE level.

Cell: 5.4134 8.9921 6.4179 Å, 83.00 66.12 72.48°
Fractional positions:
Mg 0.0902 0.8196 0.5000
Mg 0.9098 0.1804 0.5000
Sb 0.3484 0.5729 0.7442
Sb 0.9213 0.4271 0.7442
Sb 0.0787 0.5729 0.2558
Sb 0.6516 0.4271 0.2558
H 0.8176 0.0000 0.4572
H 0.9659 0.0000 0.6849
H 0.1824 0.0000 0.5428
H 0.0341 0.0000 0.3151

Results
Spin magnetization = 0.00 μB per formula unit
Crystal system = monoclinic
Offset from the most stable computed form = 0 meV/atom
ρ = 3290 kg/m3


5.
Below is a relaxed structure of MgSbH, with properties calculated at the PBE level.

Cell: 7.4004 7.3006 4.5463 Å, 90.00 90.00 90.00°
Fractional positions:
H 0.0183 0.7500 0.3088
H 0.9817 0.2500 0.6912
H 0.4817 0.2500 0.8088
H 0.5183 0.7500 0.1912
Sb 0.8164 0.2500 0.4019
Sb 0.3164 0.2500 0.0981
Sb 0.1836 0.7500 0.5981
Sb 0.6836 0.7500 0.9019
Mg 0.0000 0.0000 0.0000
Mg 0.0000 0.5000 0.0000
Mg 0.5000 0.5000 0.5000
Mg 0.5000 0.0000 0.5000

Results
Spin magnetization = 0.00 μB per formula unit
Crystal system = orthorhombic
Offset from the most stable computed form = 165 meV/atom
ρ = 3977 kg/m3


6.
Below is a relaxed structure of MgSbH, with properties calculated at the PBE level.

Cell: 3.0567 3.0567 6.2044 Å, 104.26 104.26 90.00°
Fractional positions:
Mg 0.3613 0.3613 0.7225
H 0.8743 0.8743 0.7485
Sb 0.6145 0.6145 0.2290

Results
Spin magnetization = 0.00 μB per formula unit
Crystal system = tetragonal
Offset from the most stable computed form = 224 meV/atom
ρ = 4494 kg/m3


7.
Below is a relaxed structure of Mg5Sb2H2, with properties calculated at the PBE level.

Cell: 4.1684 5.6676 8.0543 Å, 100.63 90.00 111.58°
Fractional positions:
Mg 0.0000 0.0000 0.0000
Mg 0.1412 0.2825 0.5351
Mg 0.2898 0.5796 0.1593
Mg 0.8588 0.7175 0.4649
Mg 0.7102 0.4204 0.8407
Sb 0.5874 0.1749 0.2734
Sb 0.4126 0.8251 0.7266
H 0.1710 0.3420 0.9403
H 0.8290 0.6580 0.0597

Results
Total energy = -24.01 eV per cell
Spin magnetization = 0.00 μB per formula unit
Crystal system = monoclinic
ρ = 3514 kg/m3


8.
Below is a relaxed structure of Mg2SbH2, with properties calculated at the PBE level.

Cell: 7.2125 7.2125 2.9933 Å, 90.00 90.00 90.00°
Fractional positions:
Sb 0.5000 0.5000 0.0000
Sb 0.0000 0.0000 0.0000
Mg 0.6386 0.8614 0.5000
Mg 0.3614 0.1386 0.5000
Mg 0.8614 0.3614 0.5000
Mg 0.1386 0.6386 0.5000
H 0.1001 0.3999 0.0000
H 0.3999 0.8999 0.0000
H 0.8999 0.6001 0.0000
H 0.6001 0.1001 0.0000

Results
Spin magnetization = 0.00 μB per formula unit
Crystal system = tetragonal
Offset from the most stable computed form = 435 meV/atom
ρ = 3677 kg/m3